Compound: TaPSe2
Source: the Alexandria database
Functional: GGA-PBE
Structure: optimized geometry

Cell and atoms, written as extended XYZ:
```
4
Lattice="2.415 -5.098 0.000 2.415 5.098 0.000 0.000 0.000 3.618" Properties=species:S:1:pos:R:3 pbc="T T T"
Ta 2.415 0.000 1.809
Se 2.415 1.902 0.000
Se 2.415 -1.902 0.000
P 0.000 0.000 1.809
```

Output
- D(E_F) (states/eV/cell) = 2.328
- E_form (uncorrected) (eV/atom) = -0.17
- volume (Å³/cell) = 89.1
- density (g cm⁻³) = 6.9